Na4U3SnSe8, relaxed, DFT PBE-GGA; calculated volume = 430 Å³ per cell; DOS(E_F) = 0.8862 states/eV per atom; E_tot = -5.54 eV/atom; uncorrected formation energy = -1.098 eV/atom
1.0
-2.0102 -4.1225 -7.0935
8.2474 -0.6672 -1.9494
-2.7931 -2.8166 7.4579
Na U Sn Se
4 3 1 8
direct
0.5000 0.0000 0.0000
0.5000 0.0000 0.5000
0.0000 0.0000 0.0000
0.0000 0.0000 0.5000
0.5000 0.5000 0.0000
0.5000 0.5000 0.5000
0.0000 0.5000 0.5000
0.0000 0.5000 0.0000
0.2491 0.7318 0.9829
0.2490 0.7318 0.4981
0.2557 0.2674 0.5115
0.7339 0.7318 0.9829
0.2661 0.2682 0.0171
0.7443 0.7326 0.4885
0.7510 0.2682 0.5019
0.7509 0.2682 0.0171